## i
# Tm2SiGeOs, relaxed, DFT PBE-GGA
# total magnetic moment: 0.003 μB/atom
# calculated volume: 394.5 Å³/cell
# crystal system: monoclinic
data_Tm2SiGeOs
_chemical_formula_sum 'Tm8 Si4 Ge4 Os4'
_symmetry_space_group_name_H-M 'C 1 2/m 1'
_symmetry_Int_Tables_number 12
_cell_length_a 10.622
_cell_length_b 4.268
_cell_length_c 9.878
_cell_angle_alpha 90.00
_cell_angle_beta 118.24
_cell_angle_gamma 90.00
loop_
_symmetry_equiv_pos_as_xyz
'x,y,z'
'-x,-y,-z'
'-x,y,-z'
'x,-y,z'
'x+1/2,y+1/2,z'
'-x+1/2,-y+1/2,-z'
'-x+1/2,y+1/2,-z'
'x+1/2,-y+1/2,z'
loop_
_atom_site_label
_atom_site_type_symbol
_atom_site_fract_x
_atom_site_fract_y
_atom_site_fract_z
_atom_site_occupancy
Tm1 Tm 0.005 0.000 0.180 1
Tm2 Tm 0.183 0.000 0.609 1
Si1 Si 0.006 0.500 0.377 1
Ge1 Ge 0.141 0.500 0.063 1
Os1 Os 0.226 0.500 0.864 1

---

## ii
# Tm2SiGeOs, relaxed, DFT PBE-GGA
# total magnetic moment: 0.002 μB/atom
# calculated volume: 390.7 Å³/cell
# crystal system: monoclinic
data_Tm2SiGeOs
_chemical_formula_sum 'Tm8 Si4 Ge4 Os4'
_symmetry_space_group_name_H-M 'C 1 2/m 1'
_symmetry_Int_Tables_number 12
_cell_length_a 10.543
_cell_length_b 4.207
_cell_length_c 9.992
_cell_angle_alpha 90.00
_cell_angle_beta 118.17
_cell_angle_gamma 90.00
loop_
_symmetry_equiv_pos_as_xyz
'x,y,z'
'-x,-y,-z'
'-x,y,-z'
'x,-y,z'
'x+1/2,y+1/2,z'
'-x+1/2,-y+1/2,-z'
'-x+1/2,y+1/2,-z'
'x+1/2,-y+1/2,z'
loop_
_atom_site_label
_atom_site_type_symbol
_atom_site_fract_x
_atom_site_fract_y
_atom_site_fract_z
_atom_site_occupancy
Tm1 Tm 0.005 0.000 0.173 1
Tm2 Tm 0.186 0.000 0.617 1
Si1 Si 0.141 0.500 0.060 1
Ge1 Ge 0.015 0.500 0.376 1
Os1 Os 0.234 0.500 0.874 1

---

Computed stability ranking, most favorable first: ii, i

---

## i
# Si17Ge13PPd, relaxed, DFT PBE-GGA
# calculated volume: 687.0 Å³/cell
# crystal system: monoclinic
data_Si17Ge13PPd
_chemical_formula_sum 'Si17 Ge13 P1 Pd1'
_symmetry_space_group_name_H-M 'P 1 m 1'
_symmetry_Int_Tables_number 6
_cell_length_a 5.622
_cell_length_b 3.946
_cell_length_c 30.972
_cell_angle_alpha 90.00
_cell_angle_beta 90.14
_cell_angle_gamma 90.00
loop_
_symmetry_equiv_pos_as_xyz
'x,y,z'
'x,-y,z'
loop_
_atom_site_label
_atom_site_type_symbol
_atom_site_fract_x
_atom_site_fract_y
_atom_site_fract_z
_atom_site_occupancy
Si1 Si 0.000 0.000 0.000 1
Si2 Si 0.001 0.000 0.495 1
Si3 Si 0.010 0.000 0.749 1
Si4 Si 0.254 0.000 0.556 1
Si5 Si 0.259 0.000 0.060 1
Si6 Si 0.261 0.000 0.810 1
Si7 Si 0.262 0.000 0.315 1
Si8 Si 0.494 0.500 0.556 1
Si9 Si 0.495 0.500 0.319 1
Si10 Si 0.499 0.500 0.811 1
Si11 Si 0.501 0.500 0.061 1
Si12 Si 0.503 0.500 0.427 1
Si13 Si 0.509 0.500 0.187 1
Si14 Si 0.746 0.500 0.618 1
Si15 Si 0.747 0.500 0.124 1
Si16 Si 0.749 0.500 0.872 1
Si17 Si 0.760 0.500 0.001 1
Ge1 Ge 0.007 0.000 0.252 1
Ge2 Ge 0.248 0.000 0.685 1
Ge3 Ge 0.249 0.000 0.937 1
Ge4 Ge 0.259 0.000 0.187 1
Ge5 Ge 0.259 0.000 0.433 1
Ge6 Ge 0.509 0.500 0.683 1
Ge7 Ge 0.511 0.500 0.937 1
Ge8 Ge 0.744 0.500 0.254 1
Ge9 Ge 0.751 0.500 0.492 1
Ge10 Ge 0.761 0.500 0.749 1
Ge11 Ge 0.995 0.000 0.619 1
Ge12 Ge 0.998 0.000 0.122 1
Ge13 Ge 0.998 0.000 0.871 1
P1 P 0.012 0.000 0.372 1
Pd1 Pd 0.791 0.500 0.373 1

---

## ii
# Si17Ge13PPd, relaxed, DFT PBE-GGA
# calculated volume: 688.4 Å³/cell
# crystal system: triclinic
data_Si17Ge13PPd
_chemical_formula_sum 'Si17 Ge13 P1 Pd1'
_symmetry_space_group_name_H-M 'P 1'
_symmetry_Int_Tables_number 1
_cell_length_a 6.873
_cell_length_b 10.330
_cell_length_c 10.372
_cell_angle_alpha 81.24
_cell_angle_beta 83.75
_cell_angle_gamma 71.42
loop_
_symmetry_equiv_pos_as_xyz
'x,y,z'
loop_
_atom_site_label
_atom_site_type_symbol
_atom_site_fract_x
_atom_site_fract_y
_atom_site_fract_z
_atom_site_occupancy
Si1 Si 0.000 0.000 0.000 1
Si2 Si 0.000 0.130 0.625 1
Si3 Si 0.002 0.369 0.876 1
Si4 Si 0.008 0.743 0.750 1
Si5 Si 0.123 0.140 0.828 1
Si6 Si 0.127 0.008 0.202 1
Si7 Si 0.127 0.509 0.706 1
Si8 Si 0.128 0.893 0.585 1
Si9 Si 0.493 0.808 0.572 1
Si10 Si 0.494 0.431 0.688 1
Si11 Si 0.501 0.300 0.068 1
Si12 Si 0.504 0.679 0.945 1
Si13 Si 0.622 0.577 0.527 1
Si14 Si 0.625 0.694 0.146 1
Si15 Si 0.633 0.073 0.016 1
Si16 Si 0.636 0.199 0.639 1
Si17 Si 0.983 0.483 0.519 1
Ge1 Ge 0.009 0.234 0.270 1
Ge2 Ge 0.011 0.866 0.382 1
Ge3 Ge 0.122 0.621 0.344 1
Ge4 Ge 0.128 0.377 0.082 1
Ge5 Ge 0.131 0.763 0.954 1
Ge6 Ge 0.499 0.061 0.814 1
Ge7 Ge 0.500 0.932 0.189 1
Ge8 Ge 0.502 0.553 0.324 1
Ge9 Ge 0.627 0.444 0.894 1
Ge10 Ge 0.632 0.313 0.273 1
Ge11 Ge 0.632 0.946 0.400 1
Ge12 Ge 0.635 0.818 0.771 1
Ge13 Ge 0.998 0.617 0.130 1
P1 P 0.514 0.176 0.450 1
Pd1 Pd 0.153 0.260 0.467 1

---

Computed stability ranking, most favorable first: i, ii

---

## i
# ZnSi16Ge12P3, relaxed, DFT PBE-GGA
# calculated volume: 683.5 Å³/cell
# crystal system: triclinic
data_ZnSi16Ge12P3
_chemical_formula_sum 'Zn1 Si16 Ge12 P3'
_symmetry_space_group_name_H-M 'P 1'
_symmetry_Int_Tables_number 1
_cell_length_a 6.774
_cell_length_b 10.389
_cell_length_c 10.395
_cell_angle_alpha 94.60
_cell_angle_beta 108.67
_cell_angle_gamma 96.37
loop_
_symmetry_equiv_pos_as_xyz
'x,y,z'
loop_
_atom_site_label
_atom_site_type_symbol
_atom_site_fract_x
_atom_site_fract_y
_atom_site_fract_z
_atom_site_occupancy
Zn1 Zn 0.000 0.000 0.000 1
Si1 Si 0.247 0.766 0.252 1
Si2 Si 0.312 0.448 0.815 1
Si3 Si 0.359 0.717 0.481 1
Si4 Si 0.410 0.401 0.043 1
Si5 Si 0.443 0.825 0.938 1
Si6 Si 0.540 0.784 0.171 1
Si7 Si 0.605 0.462 0.738 1
Si8 Si 0.622 0.880 0.630 1
Si9 Si 0.732 0.835 0.859 1
Si10 Si 0.738 0.263 0.754 1
Si11 Si 0.794 0.526 0.422 1
Si12 Si 0.818 0.944 0.317 1
Si13 Si 0.859 0.634 0.876 1
Si14 Si 0.916 0.904 0.550 1
Si15 Si 0.925 0.325 0.435 1
Si16 Si 0.979 0.601 0.109 1
Ge1 Ge 0.034 0.278 0.670 1
Ge2 Ge 0.062 0.701 0.563 1
Ge3 Ge 0.112 0.396 0.120 1
Ge4 Ge 0.165 0.652 0.803 1
Ge5 Ge 0.222 0.339 0.356 1
Ge6 Ge 0.359 0.128 0.376 1
Ge7 Ge 0.479 0.083 0.616 1
Ge8 Ge 0.499 0.513 0.504 1
Ge9 Ge 0.555 0.197 0.054 1
Ge10 Ge 0.667 0.146 0.294 1
Ge11 Ge 0.678 0.575 0.187 1
Ge12 Ge 0.866 0.207 0.981 1
P1 P 0.101 0.957 0.235 1
P2 P 0.177 0.068 0.695 1
P3 P 0.298 0.016 0.925 1

---

## ii
# ZnSi16Ge12P3, relaxed, DFT PBE-GGA
# calculated volume: 685.6 Å³/cell
# crystal system: triclinic
data_ZnSi16Ge12P3
_chemical_formula_sum 'Zn1 Si16 Ge12 P3'
_symmetry_space_group_name_H-M 'P 1'
_symmetry_Int_Tables_number 1
_cell_length_a 6.767
_cell_length_b 10.354
_cell_length_c 10.475
_cell_angle_alpha 81.41
_cell_angle_beta 71.23
_cell_angle_gamma 83.74
loop_
_symmetry_equiv_pos_as_xyz
'x,y,z'
loop_
_atom_site_label
_atom_site_type_symbol
_atom_site_fract_x
_atom_site_fract_y
_atom_site_fract_z
_atom_site_occupancy
Zn1 Zn 0.000 0.000 0.000 1
Si1 Si 0.365 0.106 0.547 1
Si2 Si 0.366 0.610 0.044 1
Si3 Si 0.371 0.991 0.916 1
Si4 Si 0.378 0.490 0.421 1
Si5 Si 0.496 0.565 0.816 1
Si6 Si 0.497 0.692 0.435 1
Si7 Si 0.498 0.069 0.316 1
Si8 Si 0.503 0.944 0.689 1
Si9 Si 0.869 0.044 0.230 1
Si10 Si 0.874 0.162 0.856 1
Si11 Si 0.874 0.925 0.608 1
Si12 Si 0.879 0.420 0.109 1
Si13 Si 0.885 0.799 0.982 1
Si14 Si 0.991 0.884 0.376 1
Si15 Si 0.995 0.760 0.754 1
Si16 Si 0.997 0.624 0.117 1
Ge1 Ge 0.003 0.504 0.500 1
Ge2 Ge 0.004 0.242 0.249 1
Ge3 Ge 0.370 0.865 0.292 1
Ge4 Ge 0.374 0.358 0.799 1
Ge5 Ge 0.374 0.738 0.671 1
Ge6 Ge 0.493 0.310 0.561 1
Ge7 Ge 0.499 0.439 0.189 1
Ge8 Ge 0.509 0.815 0.052 1
Ge9 Ge 0.872 0.558 0.735 1
Ge10 Ge 0.874 0.677 0.351 1
Ge11 Ge 0.881 0.295 0.483 1
Ge12 Ge 0.987 0.371 0.876 1
P1 P 0.380 0.232 0.177 1
P2 P 0.519 0.179 0.916 1
P3 P 0.998 0.122 0.627 1

---

Computed stability ranking, most favorable first: i, ii

---

## i
# PaTlGe, relaxed, DFT PBE-GGA
# total magnetic moment: 0.484 μB/atom
# calculated volume: 339.0 Å³/cell
# crystal system: cubic
data_PaTlGe
_chemical_formula_sum 'Pa4 Tl4 Ge4'
_symmetry_space_group_name_H-M 'F -4 3 m'
_symmetry_Int_Tables_number 216
_symmetry_space_group_name_Hall 'F -4 2 3'
_cell_length_a 6.973
_cell_length_b 6.973
_cell_length_c 6.973
_cell_angle_alpha 90.00
_cell_angle_beta 90.00
_cell_angle_gamma 90.00
loop_
_atom_site_label
_atom_site_type_symbol
_atom_site_fract_x
_atom_site_fract_y
_atom_site_fract_z
_atom_site_occupancy
Pa1 Pa 0.000 0.000 0.000 1
Tl1 Tl 0.250 0.250 0.750 1
Ge1 Ge 0.000 0.000 0.500 1

---

## ii
# PaTlGe, relaxed, DFT PBE-GGA
# total magnetic moment: 0.369 μB/atom
# calculated volume: 346.9 Å³/cell
# crystal system: cubic
data_PaTlGe
_chemical_formula_sum 'Pa4 Tl4 Ge4'
_symmetry_space_group_name_H-M 'F -4 3 m'
_symmetry_Int_Tables_number 216
_symmetry_space_group_name_Hall 'F -4 2 3'
_cell_length_a 7.027
_cell_length_b 7.027
_cell_length_c 7.027
_cell_angle_alpha 90.00
_cell_angle_beta 90.00
_cell_angle_gamma 90.00
loop_
_atom_site_label
_atom_site_type_symbol
_atom_site_fract_x
_atom_site_fract_y
_atom_site_fract_z
_atom_site_occupancy
Pa1 Pa 0.000 0.000 0.000 1
Tl1 Tl 0.250 0.250 0.250 1
Ge1 Ge 0.250 0.250 0.750 1

---

Computed stability ranking, most favorable first: ii, i